Computed, not measured: a geometry-optimized LaYCdRh structure at the PBE level of DFT.

```
LaYCdRh
1.0
-2.2911 4.6149 -0.6914
-5.1810 0.3123 -0.2905
-2.6947 2.1713 3.8792
Y Cd Rh La
1 1 1 1
Direct
0.7500 0.7500 0.7500 Y
0.0000 0.0000 0.0000 Cd
0.5000 0.5000 0.5000 Rh
0.2500 0.2500 0.2500 La
```

Space group: F-43m (216)
E_tot: -21.51 eV for the cell shown
M_tot: 0.00 μB/f.u.
ΔH_f (0 K): -0.462 eV/atom
Theoretical density: 7.41 g/cm³



Computed, not measured: a geometry-optimized TbPr3Bi3 structure at the PBE level of DFT.

```
TbPr3Bi3
1.0
9.6873 0.0000 0.0000
0.0000 9.6873 0.0000
0.0000 0.0000 9.6873
Tb Pr Bi
4 12 12
Direct
0.0731 0.5731 0.9269 Tb
0.9269 0.0731 0.5731 Tb
0.4269 0.4269 0.4269 Tb
0.5731 0.9269 0.0731 Tb
0.8236 0.3236 0.1764 Pr
0.9328 0.9328 0.9328 Pr
0.8214 0.6786 0.3214 Pr
0.1764 0.8236 0.3236 Pr
0.1786 0.1786 0.1786 Pr
0.3214 0.8214 0.6786 Pr
0.0672 0.4328 0.5672 Pr
0.3236 0.1764 0.8236 Pr
0.6786 0.3214 0.8214 Pr
0.6764 0.6764 0.6764 Pr
0.5672 0.0672 0.4328 Pr
0.4328 0.5672 0.0672 Pr
0.7564 0.6285 0.9979 Bi
0.8715 0.0021 0.2564 Bi
0.9979 0.7564 0.6285 Bi
0.1285 0.5021 0.2436 Bi
0.2436 0.1285 0.5021 Bi
0.2564 0.8715 0.0021 Bi
0.0021 0.2564 0.8715 Bi
0.3715 0.4979 0.7436 Bi
0.5021 0.2436 0.1285 Bi
0.6285 0.9979 0.7564 Bi
0.7436 0.3715 0.4979 Bi
0.4979 0.7436 0.3715 Bi
```

Space group: P2_13 (198)
E_tot: -145.28 eV for the cell shown
M_tot: 0.00 μB/f.u.
Polymorph energy (0 for the lowest one): 0 meV/atom
ΔH_f (0 K): -0.816 eV/atom
Theoretical density: 8.83 g/cm³